Below is a geometry-optimized Ac2HoMg3Cd12 structure, with properties calculated at the GGA-PBE level.

The calculation puts the total moment at 0.000 μB per cell. As for the crystal system: trigonal. The value obtained for the total energy is -1.62 eV per atom. For the density of states at the Fermi level, the calculation gives 0.502 states/eV/atom. Its formation energy is -0.57 eV/f.u.

The space group is R-3m (No. 166, hexagonal axes) and the conventional cell measures 10.8067, 10.8067 and 14.5722 Å, with angles of 90.00, 90.00 and 120.00 degrees. The inequivalent atoms are Ac at (0.0000, 0.0000, 0.2085), Ho at (0.0000, 0.0000, 0.5000), Mg at (0.0000, 0.5000, 0.0000), Cd at (0.0101, 0.5051, 0.2073) and Cd at (0.0349, 0.5175, 0.5999).


Below is a geometry-optimized ThMnCo4 structure, with properties calculated at the GGA-PBE level.

The calculation puts the total moment at 7.816 μB per cell. As for the crystal system: hexagonal. The value obtained for the total energy is -7.62 eV per atom. For the density of states at the Fermi level, the calculation gives 1.331 states/eV/atom. Its formation energy is -0.71 eV/f.u.

The space group is P-6m2 (No. 187) and the conventional cell measures 5.0329, 5.0329 and 3.9881 Å, with angles of 90.00, 90.00 and 120.00 degrees. The inequivalent atoms are Th at (0.0000, 0.0000, 0.0000), Mn at (0.3333, 0.6667, 0.0000), Co at (0.5024, 0.0047, 0.5000) and Co at (0.6667, 0.3333, 0.0000).


Below is a geometry-optimized HfMnSn2 structure, with properties calculated at the GGA-PBE level.

The calculation puts the total moment at 3.267 μB per cell. The energy above the most stable polymorph in this dataset is 0 meV per atom. As for the crystal system: tetragonal. The value obtained for the total energy is -6.81 eV per atom. For the density of states at the Fermi level, the calculation gives 0.568 states/eV/atom. Its formation energy is -0.13 eV/f.u.

The space group is P4/mmm (No. 123) and the conventional cell measures 4.440, 4.440 and 4.126 Å, with angles of 90.00, 90.00 and 90.00 degrees. The inequivalent atoms are Hf at (0.000, 0.000, 0.000), Mn at (0.500, 0.500, 0.000) and Sn at (0.000, 0.500, 0.500).


Below is a geometry-optimized Sr2EuGa structure, with properties calculated at the GGA-PBE level.

The calculation puts the total moment at 7.351 μB per cell. The energy above the most stable polymorph in this dataset is 119 meV per atom. As for the crystal system: tetragonal. The value obtained for the total energy is -4.21 eV per atom. For the density of states at the Fermi level, the calculation gives 3.175 states/eV/atom. Its formation energy is -0.17 eV/f.u.

The space group is P4/mmm (No. 123) and the conventional cell measures 5.294, 5.294 and 5.210 Å, with angles of 90.00, 90.00 and 90.00 degrees. The inequivalent atoms are Sr at (0.000, 0.500, 0.000), Eu at (0.000, 0.000, 0.500) and Ga at (0.500, 0.500, 0.500).